Material: FeAuCl2
Method: DFT, GGA-PBE
State: optimized geometry

Cell lengths 6.667, 6.667, 6.667 Å; angles 90.00, 90.00, 90.00 degrees
Space group Fm-3m (No. 225)
Inequivalent atoms, fractional coordinates:
Fe 0.000 0.000 0.000 x4
Au 0.000 0.000 0.500 x4
Cl 0.250 0.250 0.250 x8

For the uncorrected energy, the calculation gives -3.50 eV per atom. Its energy above the most stable polymorph in this dataset is 584 meV/atom. The uncorrected formation energy comes out at 0.360 eV/atom.